## CePuAs2 (GGA-PBE)

Data for CePuAs2 after structural relaxation.

Crystal system: hexagonal
Energy above the most stable polymorph in this dataset, meV/atom: 55
E, eV/cell: -68.6
Total moment, μB/cell: 11.91
Energy relative to the elements, eV per atom: -1.18

Cell: 4.1562 4.1562 13.8701 Å, 90.00 90.00 120.00°
Element x y z (fractional)
1 Ce 0.0000 0.0000 0.0000
2 Ce 0.0000 0.0000 0.5000
3 Pu 0.3333 0.6667 0.2500
4 Pu 0.6667 0.3333 0.7500
5 As 0.3333 0.6667 0.6237
6 As 0.3333 0.6667 0.8763
7 As 0.6667 0.3333 0.1237
8 As 0.6667 0.3333 0.3763


## ScP2Cl (GGA-PBE)

Data for ScP2Cl after structural relaxation.

Crystal system: monoclinic
Energy above the most stable polymorph in this dataset, meV/atom: 171
E, eV/cell: -22.0
Total moment, μB/cell: 0.00

Cell: 5.3046 5.3046 4.7150 Å, 98.96 98.96 36.08°
Element x y z (fractional)
1 Sc 0.0000 0.0000 0.0000
2 P 0.2659 0.2659 0.8521
3 P 0.7341 0.7341 0.1479
4 Cl 0.5000 0.5000 0.5000